Entry 1:
Density functional theory data (PBE) for a geometry-optimized FePtBr2 structure.

abc: 3.504 5.791 5.470
angles: 44.42 90.00 90.00
Sites, in units of the cell vectors:
Br1 0.000 0.000 0.000
Br2 0.500 0.500 0.000
Pt1 0.000 0.000 0.500
Fe1 0.500 0.500 0.500

Summary:
Crystal system = monoclinic
Energy relative to the lowest polymorph listed for this composition = 2.25 eV/f.u.
Space-group type = P2/m, No. 10

Entry 2:
Density functional theory data (PBE) for a geometry-optimized Fe2PtBr structure.

abc: 4.474 4.474 4.474
angles: 60.00 60.00 60.00
Sites, in units of the cell vectors:
Fe1 0.250 0.250 0.250
Fe2 0.000 0.000 0.000
Pt1 0.750 0.750 0.750
Br1 0.500 0.500 0.500

Summary:
Crystal system = cubic
Energy relative to the lowest polymorph listed for this composition = 2.20 eV/f.u.
Space-group type = F-43m, No. 216

Entry 3:
Density functional theory data (PBE) for a geometry-optimized Fe4PtBr2 structure.

abc: 4.750 4.750 8.247
angles: 73.26 73.26 90.00
Sites, in units of the cell vectors:
Fe1 0.500 0.000 0.000
Fe2 0.160 0.160 0.680
Fe3 0.840 0.840 0.320
Fe4 0.000 0.500 0.000
Pt1 0.000 0.000 0.000
Br1 0.320 0.320 0.359
Br2 0.680 0.680 0.641

Summary:
Crystal system = tetragonal
Space-group type = I4/mmm, No. 139

Entry 4:
Density functional theory data (PBE) for a geometry-optimized FePtBr2 structure.

abc: 7.846 7.846 7.846
angles: 25.63 25.63 25.63
Sites, in units of the cell vectors:
Br1 0.108 0.108 0.108
Br2 0.892 0.892 0.892
Fe1 0.500 0.500 0.500
Pt1 0.000 0.000 0.000

Summary:
Crystal system = trigonal
Energy relative to the lowest polymorph listed for this composition = 2.00 eV/f.u.
Space-group type = R-3m, No. 166

Entry 5:
Density functional theory data (PBE) for a geometry-optimized FePtBr2 structure.

abc: 4.631 4.631 4.631
angles: 60.00 60.00 60.00
Sites, in units of the cell vectors:
Br1 0.250 0.250 0.250
Br2 0.750 0.750 0.750
Fe1 0.000 0.000 0.000
Pt1 0.500 0.500 0.500

Summary:
Crystal system = cubic
Energy relative to the lowest polymorph listed for this composition = 4.30 eV/f.u.
Space-group type = Fm-3m, No. 225

Entry 6:
Density functional theory data (PBE) for a geometry-optimized Fe2PtBr structure.

abc: 4.599 4.599 7.606
angles: 56.85 56.85 37.48
Sites, in units of the cell vectors:
Fe1 0.454 0.454 0.400
Fe2 0.046 0.046 0.100
Pt1 0.250 0.250 0.250
Br1 0.750 0.750 0.750

Summary:
Crystal system = monoclinic
Energy relative to the lowest polymorph listed for this composition = 0.42 eV/f.u.
Space-group type = C2/m, No. 12

Entry 7:
Density functional theory data (PBE) for a geometry-optimized FePtBr2 structure.

abc: 3.586 3.586 8.986
angles: 90.00 90.00 119.83
Sites, in units of the cell vectors:
Br1 0.000 0.000 0.917
Br2 0.500 0.500 0.338
Pt1 0.500 0.500 0.711
Fe1 0.000 0.000 0.534

Summary:
Crystal system = orthorhombic
Energy relative to the lowest polymorph listed for this composition = 0.69 eV/f.u.
Space-group type = Cmm2, No. 35

Entry 8:
Density functional theory data (PBE) for a geometry-optimized FePtBr2 structure.

abc: 7.530 7.530 4.173
angles: 85.40 85.40 26.43
Sites, in units of the cell vectors:
Br1 0.387 0.387 0.546
Br2 0.113 0.113 0.954
Fe1 0.750 0.750 0.750
Pt1 0.250 0.250 0.250

Summary:
Crystal system = monoclinic
Energy relative to the lowest polymorph listed for this composition = 0.13 eV/f.u.
Space-group type = C2/m, No. 12

How do the records compare in calculated volume? In the order shown, they have 19.4; 15.8; 24.3; 19.9; 17.6; 20.0; 25.1; 26.2 Å³/atom.
How do the records compare in ΔE_f (raw)? In the order shown, they have 0.519; 0.677; 0.811; 0.458; 1.034; 0.233; 0.129; -0.011 eV per atom.